i | KOsSeO after structural relaxation, computed with PBE.

Cell lengths 5.4045, 5.0235, 13.6237 Å; angles 90.00, 94.37, 90.00 degrees
Space group P2_1 (No. 4)
Unique sites:
K 0.1573 0.0000 0.1709
K 0.3201 0.9698 0.8503
Os 0.1058 0.1663 0.5852
Os 0.4109 0.7956 0.5953
Se 0.2199 0.5100 0.3165
Se 0.3297 0.4538 0.7163
O 0.1094 0.5549 0.5342
O 0.3830 0.0855 0.4889

ii | KOsSeO after structural relaxation, computed with PBE.

Cell lengths 3.7729, 3.7729, 9.1661 Å; angles 90.00, 90.00, 90.00 degrees
Space group P4/nmm (No. 129, origin choice 2)
Unique sites:
K 0.2500 0.7500 0.0000
Os 0.2500 0.2500 0.3721
Se 0.2500 0.2500 0.7363
O 0.2500 0.7500 0.5000

The most stable arrangement is i, and the next structure is 816 meV/atom less stable.

i | KPaPO after structural relaxation, computed with PBE.

Cell lengths 4.0207, 4.0207, 10.1901 Å; angles 90.00, 90.00, 90.00 degrees
Space group P4/nmm (No. 129, origin choice 2)
Unique sites:
K 0.2500 0.7500 0.0000
Pa 0.2500 0.2500 0.3706
P 0.2500 0.2500 0.7643
O 0.2500 0.7500 0.5000

ii | KPaPO after structural relaxation, computed with PBE.

Cell lengths 4.0801, 7.6388, 6.9436 Å; angles 90.00, 90.00, 90.00 degrees
Space group Pmc2_1 (No. 26)
Unique sites:
K 0.0000 0.0762 0.0000
Pa 0.5000 0.3565 0.3948
P 0.5000 0.3092 0.7811
O 0.0000 0.2466 0.3311

The most stable arrangement is i, and the next structure is 59 meV/atom less stable.

i | KPaPO after structural relaxation, computed with PBE.

Cell lengths 4.1193, 7.4556, 6.8425 Å; angles 90.00, 90.00, 90.00 degrees
Space group Pmc2_1 (No. 26)
Unique sites:
K 0.0000 0.0928 0.0000
Pa 0.5000 0.4887 0.6792
P 0.0000 0.3362 0.4237
O 0.5000 0.3046 0.9391

ii | KPaPO after structural relaxation, computed with PBE.

Cell lengths 5.5739, 5.5739, 5.2370 Å; angles 90.00, 90.00, 90.00 degrees
Space group P4/nmm (No. 129, origin choice 2)
Unique sites:
K 0.2500 0.2500 0.0025
Pa 0.2500 0.7500 0.5000
P 0.2500 0.2500 0.5028
O 0.2500 0.7500 0.0000

The most stable arrangement is i, and the next structure is 594 meV/atom less stable.

i | KPmPO after structural relaxation, computed with PBE.

Cell lengths 4.0875, 4.0875, 10.7164 Å; angles 90.00, 90.00, 90.00 degrees
Space group P4/nmm (No. 129, origin choice 2)
Unique sites:
K 0.2500 0.7500 0.0000
Pm 0.2500 0.2500 0.3955
P 0.2500 0.2500 0.7770
O 0.2500 0.7500 0.5000

ii | KPmPO after structural relaxation, computed with PBE.

Cell lengths 4.8903, 7.5259, 6.5822 Å; angles 90.00, 90.00, 90.00 degrees
Space group Pmc2_1 (No. 26)
Unique sites:
K 0.0000 0.2476 0.0000
Pm 0.5000 0.1609 0.5564
P 0.0000 0.3356 0.4841
O 0.5000 0.0814 0.8758

iii | KPmPO after structural relaxation, computed with PBE.

Cell lengths 5.8177, 5.8177, 5.3010 Å; angles 90.00, 90.00, 90.00 degrees
Space group P4/nmm (No. 129, origin choice 2)
Unique sites:
K 0.2500 0.2500 0.0008
Pm 0.2500 0.7500 0.5000
P 0.2500 0.2500 0.5009
O 0.2500 0.7500 0.0000

iv | KPmPO after structural relaxation, computed with PBE.

Cell lengths 3.5602, 7.8908, 7.6263 Å; angles 90.00, 90.00, 90.00 degrees
Space group Pmc2_1 (No. 26)
Unique sites:
K 0.0000 0.0482 0.0000
Pm 0.5000 0.3710 0.3617
P 0.5000 0.2889 0.7280
O 0.0000 0.2358 0.2823

The most stable arrangement is iv, and the next structure is 45 meV/atom less stable.